No. 1
Here is KLaBTe2 after structural relaxation from the Alexandria database. Energies are from GGA-PBE.

Output
Calculated total energy, eV/atom: -3.139
Formation energy from raw total energies, kJ/mol of formula units: 317
Symmetry: No. 123

abc: 5.902 5.902 4.700
angles: 90.00 90.00 90.00
Positions (direct):
K 0.000 0.000 0.000
La 0.500 0.500 0.500
B 0.000 0.000 0.500
Te 0.000 0.500 0.000
Te 0.500 0.000 0.000

***

No. 2
Here is TiPb after structural relaxation from the Alexandria database. Energies are from GGA-PBE.

Output
Calculated total energy, eV/atom: -5.682
Symmetry: No. 87

abc: 7.852 7.852 7.852
angles: 92.81 92.81 154.40
Positions (direct):
Ti 0.063 0.379 0.442
Ti 0.379 0.937 0.317
Ti 0.621 0.063 0.683
Ti 0.937 0.621 0.558
Pb 0.130 0.806 0.936
Pb 0.194 0.130 0.324
Pb 0.806 0.870 0.676
Pb 0.870 0.194 0.064

***

No. 3
Here is Mg3ReRh after structural relaxation from the Alexandria database. Energies are from GGA-PBE.

Output
Calculated total energy, eV/atom: -3.986
Symmetry: No. 221
Offset from the most stable computed form, meV per atom: 0.0

abc: 4.759 4.759 4.759
angles: 90.00 90.00 90.00
Positions (direct):
Mg 0.000 0.000 0.500
Mg 0.000 0.500 0.000
Mg 0.500 0.000 0.000
Re 0.500 0.500 0.500
Rh 0.000 0.000 0.000

***

Question: The highest calculated total energy belongs to which entry?
Answer: KLaBTe2

***

Question: Which value of calculated total energy does entry 3 give?
Answer: -3.986 eV/atom

***

Question: Which of these has the lowest calculated total energy?
Answer: TiPb

***

What did the first record say?
Here is KLaBTe2 after structural relaxation from the Alexandria database. Energies are from GGA-PBE.

Output
Calculated total energy, eV/atom: -3.139
Formation energy from raw total energies, kJ/mol of formula units: 317
Symmetry: No. 123

abc: 5.902 5.902 4.700
angles: 90.00 90.00 90.00
Positions (direct):
K 0.000 0.000 0.000
La 0.500 0.500 0.500
B 0.000 0.000 0.500
Te 0.000 0.500 0.000
Te 0.500 0.000 0.000